Entry 1:
Here is crystalline Fe2GeHIr at its relaxed geometry from the Alexandria database. Energies are from PBE-GGA.

The structure in CIF format:
```
data_Fe2GeHIr
_symmetry_space_group_name_H-M 'P 1'
_symmetry_Int_Tables_number 1
_cell_length_a 3.710
_cell_length_b 3.710
_cell_length_c 3.960
_cell_angle_alpha 90.00
_cell_angle_beta 90.00
_cell_angle_gamma 90.00
loop_
_symmetry_equiv_pos_as_xyz
'x,y,z'
loop_
_atom_site_label
_atom_site_fract_x
_atom_site_fract_y
_atom_site_fract_z
Fe1 0.000 0.500 0.000
Fe2 0.500 0.000 0.000
H1 0.000 0.000 0.000
Ir1 0.000 0.000 0.500
Ge1 0.500 0.500 0.500
```

## Properties
E above lowest polymorph (meV/atom): 0
DFT total energy (eV per formula unit): -33.76

***

Entry 2:
Here is crystalline Fe2GeHIr at its relaxed geometry from the Alexandria database. Energies are from PBE-GGA.

The structure in CIF format:
```
data_Fe2GeHIr
_symmetry_space_group_name_H-M 'P 1'
_symmetry_Int_Tables_number 1
_cell_length_a 4.515
_cell_length_b 2.958
_cell_length_c 4.515
_cell_angle_alpha 90.00
_cell_angle_beta 90.00
_cell_angle_gamma 90.00
loop_
_symmetry_equiv_pos_as_xyz
'x,y,z'
loop_
_atom_site_label
_atom_site_fract_x
_atom_site_fract_y
_atom_site_fract_z
Ir1 0.500 0.500 0.500
Fe1 0.000 0.000 0.500
Fe2 0.500 0.000 0.000
Ge1 0.000 0.000 0.000
H1 0.000 0.500 0.000
```

## Properties
E above lowest polymorph (meV/atom): 1060
DFT total energy (eV per formula unit): -28.46

***

Entry 3:
Here is crystalline Li2FeGeH at its relaxed geometry from the Alexandria database. Energies are from PBE-GGA.

The structure in CIF format:
```
data_Li2FeGeH
_symmetry_space_group_name_H-M 'P 1'
_symmetry_Int_Tables_number 1
_cell_length_a 3.701
_cell_length_b 3.701
_cell_length_c 3.904
_cell_angle_alpha 90.00
_cell_angle_beta 90.00
_cell_angle_gamma 90.00
loop_
_symmetry_equiv_pos_as_xyz
'x,y,z'
loop_
_atom_site_label
_atom_site_fract_x
_atom_site_fract_y
_atom_site_fract_z
H1 0.000 0.000 0.000
Li1 0.000 0.500 0.000
Li2 0.500 0.000 0.000
Fe1 0.000 0.000 0.500
Ge1 0.500 0.500 0.500
```

## Properties
E above lowest polymorph (meV/atom): 0
DFT total energy (eV per formula unit): -21.01

***

Entry 4:
Here is crystalline LiFe2GeH at its relaxed geometry from the Alexandria database. Energies are from PBE-GGA.

The structure in CIF format:
```
data_LiFe2GeH
_symmetry_space_group_name_H-M 'P 1'
_symmetry_Int_Tables_number 1
_cell_length_a 3.627
_cell_length_b 3.627
_cell_length_c 3.739
_cell_angle_alpha 90.00
_cell_angle_beta 90.00
_cell_angle_gamma 90.00
loop_
_symmetry_equiv_pos_as_xyz
'x,y,z'
loop_
_atom_site_label
_atom_site_fract_x
_atom_site_fract_y
_atom_site_fract_z
Fe1 0.500 0.000 0.000
Fe2 0.000 0.500 0.000
Li1 0.000 0.000 0.500
Ge1 0.500 0.500 0.500
H1 0.000 0.000 0.000
```

## Properties
DFT total energy (eV per formula unit): -27.27

***

Entry 5:
Here is crystalline Li2FeGeH at its relaxed geometry from the Alexandria database. Energies are from PBE-GGA.

The structure in CIF format:
```
data_Li2FeGeH
_symmetry_space_group_name_H-M 'P 1'
_symmetry_Int_Tables_number 1
_cell_length_a 3.572
_cell_length_b 4.380
_cell_length_c 3.572
_cell_angle_alpha 90.00
_cell_angle_beta 90.00
_cell_angle_gamma 90.00
loop_
_symmetry_equiv_pos_as_xyz
'x,y,z'
loop_
_atom_site_label
_atom_site_fract_x
_atom_site_fract_y
_atom_site_fract_z
Ge1 0.000 0.500 0.000
H1 0.000 0.000 0.000
Li1 0.000 0.000 0.500
Li2 0.500 0.000 0.000
Fe1 0.500 0.500 0.500
```

## Properties
E above lowest polymorph (meV/atom): 239
DFT total energy (eV per formula unit): -19.81

***

Entry 6:
Here is crystalline MnFe2GeH at its relaxed geometry from the Alexandria database. Energies are from PBE-GGA.

The structure in CIF format:
```
data_MnFe2GeH
_symmetry_space_group_name_H-M 'P 1'
_symmetry_Int_Tables_number 1
_cell_length_a 3.692
_cell_length_b 3.692
_cell_length_c 3.686
_cell_angle_alpha 90.00
_cell_angle_beta 90.00
_cell_angle_gamma 90.00
loop_
_symmetry_equiv_pos_as_xyz
'x,y,z'
loop_
_atom_site_label
_atom_site_fract_x
_atom_site_fract_y
_atom_site_fract_z
Ge1 0.500 0.500 0.500
H1 0.000 0.000 0.000
Fe1 0.000 0.500 0.000
Fe2 0.500 0.000 0.000
Mn1 0.000 0.000 0.500
```

## Properties
DFT total energy (eV per formula unit): -34.54